Record 1
Crystalline LiSiO2F at its relaxed geometry. Source: the Alexandria database, functional GGA-PBEsol.

Results
Mass density (g/cm3): 3.4
Uncorrected formation energy (eV per formula unit): -3.38
SG: P4/mmm (123)
DFT total energy (eV/atom): -4.704

Geometry as POSCAR:
```
LiSiO2F
1.0
3.269 0.000 0.000
0.000 3.596 0.000
0.000 0.000 3.596
O Li F Si
2 1 1 1
Direct
0.000 0.500 0.000
0.000 0.000 0.500
0.000 0.000 0.000
0.500 0.000 0.000
0.500 0.500 0.500
```

Record 2
Crystalline Sr3LiTa4O12F2 at its relaxed geometry. Source: the Alexandria database, functional GGA-PBEsol.

Results
Mass density (g/cm3): 7.0
Uncorrected formation energy (eV per formula unit): -67.06
SG: R-3m (166)
DFT total energy (eV/atom): -8.709

Geometry as POSCAR:
```
Sr3LiTa4O12F2
1.0
7.375 -0.011 -0.008
3.578 6.449 -0.008
3.578 2.103 6.096
F O Li Sr Ta
2 12 1 3 4
Direct
0.393 0.393 0.393
0.607 0.607 0.607
0.075 0.677 0.075
0.075 0.075 0.677
0.323 0.925 0.925
0.938 0.313 0.313
0.062 0.687 0.687
0.925 0.323 0.925
0.313 0.938 0.313
0.677 0.075 0.075
0.313 0.313 0.938
0.687 0.062 0.687
0.925 0.925 0.323
0.687 0.687 0.062
0.500 0.500 0.500
0.500 0.500 0.000
0.000 0.500 0.500
0.500 0.000 0.500
0.000 0.000 0.000
0.500 0.000 0.000
0.000 0.500 0.000
0.000 0.000 0.500
```

Record 3
Crystalline LiTiOF2 at its relaxed geometry. Source: the Alexandria database, functional GGA-PBEsol.

Results
Mass density (g/cm3): 4.2
Uncorrected formation energy (eV per formula unit): -10.83
SG: P4/mmm (123)
DFT total energy (eV/atom): -6.044

Geometry as POSCAR:
```
LiTiOF2
1.0
-2.685 -1.827 -0.594
1.550 -2.664 1.185
-1.346 0.812 3.586
Li F Ti O
1 2 1 1
Direct
0.000 0.000 0.000
0.000 0.500 0.000
0.500 0.000 0.000
0.500 0.500 0.500
0.000 0.000 0.500
```

Record 4
Crystalline Li5VO4F at its relaxed geometry. Source: the Alexandria database, functional GGA-PBEsol.

Results
Mass density (g/cm3): 2.8
Uncorrected formation energy (eV per formula unit): -25.02
SG: Cm (8)
DFT total energy (eV/atom): -6.128
Offset from the most stable computed form (meV per atom): 0

Geometry as POSCAR:
```
Li5VO4F
1.0
-2.914 -2.185 -1.307
4.131 -0.336 -2.919
0.751 -3.616 4.369
O F Li V
4 1 5 1
Direct
0.865 0.730 0.148
0.513 0.026 0.994
0.146 0.292 0.806
0.173 0.345 0.311
0.842 0.684 0.648
0.710 0.421 0.303
0.011 0.022 0.479
0.303 0.606 0.657
0.330 0.660 0.110
0.683 0.367 0.854
0.025 0.051 0.019
```

Record 5
Crystalline LiV3O4F2 at its relaxed geometry. Source: the Alexandria database, functional GGA-PBEsol.

Results
Mass density (g/cm3): 4.3
Uncorrected formation energy (eV per formula unit): -24.07
SG: P1 (1)
DFT total energy (eV/atom): -7.980
Offset from the most stable computed form (meV per atom): 0

Geometry as POSCAR:
```
LiV3O4F2
1.0
-3.288 1.242 3.536
-1.254 -3.591 -3.250
3.747 -1.261 3.710
V Li F O
3 1 2 4
Direct
0.857 0.734 0.573
0.355 0.673 0.004
0.654 0.316 0.936
0.106 0.231 0.396
0.072 0.514 0.258
0.452 0.188 0.265
0.244 0.185 0.755
0.947 0.538 0.775
0.597 0.860 0.789
0.717 0.761 0.248
```

Record 6
Crystalline Li5VO4F at its relaxed geometry. Source: the Alexandria database, functional GGA-PBEsol.

Results
Mass density (g/cm3): 2.6
Uncorrected formation energy (eV per formula unit): -24.91
SG: Cc (9)
DFT total energy (eV/atom): -6.119
Offset from the most stable computed form (meV per atom): 10

Geometry as POSCAR:
```
Li5VO4F
1.0
-4.571 1.267 2.064
3.169 -2.355 3.343
3.676 8.046 0.539
O Li F V
8 10 2 2
Direct
0.869 0.094 0.744
0.692 0.004 0.389
0.440 0.213 0.914
0.094 0.869 0.244
0.297 0.996 0.604
0.996 0.297 0.104
0.213 0.440 0.414
0.004 0.692 0.889
0.551 0.792 0.556
0.346 0.676 0.254
0.715 0.022 0.937
0.978 0.276 0.566
0.204 0.446 0.945
0.022 0.715 0.437
0.792 0.551 0.056
0.276 0.978 0.066
0.676 0.346 0.754
0.446 0.204 0.445
0.533 0.765 0.071
0.765 0.533 0.571
0.954 0.136 0.271
0.136 0.954 0.771
```

Record 7
Crystalline Li4V8O13F3 at its relaxed geometry. Source: the Alexandria database, functional GGA-PBEsol.

Results
Mass density (g/cm3): 4.2
Uncorrected formation energy (eV per formula unit): -66.29
SG: Cm (8)
DFT total energy (eV/atom): -8.045

Geometry as POSCAR:
```
Li4V8O13F3
1.0
-1.044 2.073 -5.286
0.993 -5.638 0.750
-9.074 -0.741 4.352
V O Li F
8 13 4 3
Direct
0.053 0.788 0.765
0.499 0.246 0.248
0.462 0.006 0.971
0.474 0.209 0.765
0.976 0.240 0.249
0.512 0.733 0.748
0.512 0.493 0.508
0.506 0.769 0.249
0.235 0.140 0.879
0.730 0.340 0.124
0.268 0.867 0.638
0.281 0.891 0.124
0.289 0.371 0.634
0.743 0.606 0.852
0.705 0.612 0.363
0.263 0.645 0.870
0.248 0.155 0.363
0.760 0.842 0.634
0.735 0.129 0.368
0.259 0.391 0.153
0.722 0.104 0.870
0.878 0.670 0.051
0.114 0.336 0.953
0.890 0.175 0.569
0.108 0.831 0.442
0.753 0.376 0.633
0.734 0.878 0.114
0.254 0.621 0.379
```

Record 8
Crystalline LiV4OF11 at its relaxed geometry. Source: the Alexandria database, functional GGA-PBEsol.

Results
Mass density (g/cm3): 3.6
Uncorrected formation energy (eV per formula unit): -47.46
SG: P2 (3)
DFT total energy (eV/atom): -6.730

Geometry as POSCAR:
```
LiV4OF11
1.0
5.086 0.000 0.000
0.000 5.398 -0.035
0.000 -0.525 7.270
V F Li O
4 11 1 1
Direct
0.001 0.005 0.254
0.491 0.498 0.760
0.001 0.995 0.746
0.491 0.502 0.240
0.310 0.814 0.309
0.178 0.678 0.699
0.695 0.804 0.809
0.825 0.318 0.814
0.695 0.196 0.191
0.116 0.000 0.000
0.310 0.186 0.691
0.602 0.500 0.500
0.178 0.322 0.301
0.883 0.000 0.500
0.825 0.682 0.186
0.017 0.500 0.000
0.408 0.500 0.000
```